A geometry-optimized Mn2AlCo structure, computed with GGA-PBE.

Unit cell a=4.582 b=4.582 c=4.582 alpha=136.10 beta=136.10 gamma=63.83
Atoms (fractional coordinates):
Mn: 0.250 0.750 0.500
Mn: 0.750 0.250 0.500
Al: 0.000 0.000 0.000
Co: 0.500 0.500 0.000

Calculated values
As for the uncorrected energy: -0.54341 Ry/atom. The value obtained for the formation energy is -0.097 eV per atom. As for the energy above the lowest structure with this stoichiometry: 0.169 eV/atom.